No. 1
BaSrRe GGA-PBEsol optimized geometry; DFT formation energy = 1320 meV/atom
1.0
0.000 3.667 3.667
3.667 0.000 3.667
3.667 3.667 0.000
Ba Sr Re
1 1 1
direct
0.000 0.000 0.000 Ba
0.500 0.500 0.500 Sr
0.750 0.750 0.750 Re



No. 2
BaSrRe2 GGA-PBEsol optimized geometry; DFT formation energy = 1468 meV/atom; E above lowest polymorph = 704 meV per atom
1.0
2.828 -5.395 0.000
2.828 5.395 0.000
-0.293 0.000 2.848
Ba Sr Re
1 1 2
direct
0.000 0.000 0.000 Ba
0.500 0.500 0.000 Sr
0.000 0.500 0.500 Re
0.500 0.000 0.500 Re